ReAsRu2: optimized geometry, GGA-PBE.

Output
E_form = 0.14 eV/atom
spin magnetization = 0.00 μB per formula unit
D(E_F) = 0.821 states/eV per atom

CIF file:
```
data_ReAsRu2
_space_group_name_H-M_alt 'I m m m'
_space_group_IT_number 71
_space_group_name_Hall '-I 2 2'
_cell_length_a 2.947
_cell_length_b 4.405
_cell_length_c 8.799
_cell_angle_alpha 90.00
_cell_angle_beta 90.00
_cell_angle_gamma 90.00
loop_
_atom_site_label
_atom_site_fract_x
_atom_site_fract_y
_atom_site_fract_z
Re1 0.000 0.000 0.000
As1 0.000 0.000 0.500
Ru1 0.000 0.500 0.224
```